Compound: CaNi2BPt
Source: Alexandria
Functional: PBE
Structure: relaxed

Structure (CIF):
```
data_CaNi2BPt
_space_group_name_H-M_alt 'P 4/m m m'
_space_group_IT_number 123
_space_group_name_Hall '-P 4 2'
_cell_length_a 4.078
_cell_length_b 4.078
_cell_length_c 4.212
_cell_angle_alpha 90.00
_cell_angle_beta 90.00
_cell_angle_gamma 90.00
loop_
_atom_site_label
_atom_site_type_symbol
_atom_site_fract_x
_atom_site_fract_y
_atom_site_fract_z
Ca1 Ca 0.000 0.000 0.000
Ni1 Ni 0.000 0.500 0.500
B1 B 0.500 0.500 0.500
Pt1 Pt 0.500 0.500 0.000
```

- formation energy from the elements (eV/atom) = -0.38
- V (Å³ per cell) = 70.0
- DFT total energy (eV per formula unit) = -28.2
- mass density (g/cm³) = 8.61
- crystal system = tetragonal